1.
Entry from Alexandria via LeMat-Bulk: a relaxed Pm2NiPd crystal (GGA-PBE).

Cell: 5.0162 5.0162 5.0161 Å, 59.99 59.99 59.99°
With the nearest neighbours (Å) after each atom.
Positions (direct):
Pd 0.2500 0.2500 0.2500  8 Pm 3.07
Ni 0.7500 0.7500 0.7500  8 Pm 3.07
Pm 0.0000 0.0000 0.0000  4 Ni 3.07, 4 Pd 3.07
Pm 0.5000 0.5000 0.5000  4 Ni 3.07, 4 Pd 3.07

Values from the calculation:
Energy of formation from the pure elements ... -0.4935 eV per atom
Energy ... -0.20625 hartree per atom
SG ... Fm-3m (225)



2.
Entry from Alexandria via LeMat-Bulk: a relaxed PmNiPd crystal (GGA-PBE).

Cell: 3.5444 3.9189 4.4232 Å, 90.00 90.00 90.00°
With the nearest neighbours (Å) after each atom.
Positions (direct):
Ni 0.5000 0.0000 0.5000  4 Pd 2.64, 4 Pm 2.83
Pm 0.0000 0.0000 0.0000  4 Ni 2.83, 4 Pd 2.95
Pd 0.0000 0.5000 0.5000  4 Ni 2.64, 4 Pm 2.95

Values from the calculation:
Energy above the most stable polymorph in this dataset ... 0.2666 eV/atom
Energy of formation from the pure elements ... -0.2892 eV per atom
Energy ... -0.20325 hartree per atom
SG ... Pmmm (47)



Number 1: calculated volume 89.2 Å³/cell. Number 2: calculated volume 61.4 Å³/cell.